The following is a PBE calculation of a relaxed TlAgBr6 crystal, from Alexandria via LeMat-Bulk.

Structure (extended XYZ):
```
8
Lattice="6.002 1.063 0.426 3.894 8.745 0.999 3.607 4.023 6.775" Properties=species:S:1:pos:R:3 pbc="T T T"
Tl 0.000 0.000 0.000
Ag 6.751 6.916 4.100
Br 4.854 6.574 5.717
Br 7.818 4.764 4.788
Br 4.628 2.943 1.475
Br 5.684 9.067 3.412
Br 8.648 7.257 2.484
Br 8.875 10.888 6.725
```

The distance to the lowest polymorph of the same formula is 0.16 eV per formula unit. The value obtained for the total magnetization is 0.00 Bohr magnetons per cell. The calculation puts the raw formation energy at -0.24 eV/atom.